## ScAs2AuSe (PBE)

Data for a geometry-optimized ScAs2AuSe structure.

**Energy above the most stable polymorph in this dataset**: 57.7 meV per atom
**Mass density**: 6.18 g/cm³
**Fermi-level density of states**: 0.85 states/eV/atom
**Formation energy from raw total energies**: 0.349 eV per atom

Lattice parameters (Å, degrees): 4.9585 4.9585 5.1401 90.00 90.00 90.00
With the nearest neighbours (Å) after each atom.
Positions (direct):
Sc: 0.0000 0.0000 0.0000  4 Se 3.51, 8 As 3.57
As: 0.0000 0.5000 0.5000  2 Au 2.48
As: 0.5000 0.0000 0.5000  2 Au 2.48
Au: 0.5000 0.5000 0.5000  4 As 2.48, 2 Se 2.57
Se: 0.5000 0.5000 0.0000  2 Au 2.57